Entry 1:
# Ta2GaO PBE optimized geometry
# polymorph energy (0 for the lowest one)	0	meV per atom
# V	18.3	A^3/atom
# density	10.16	g/cm³
# energy relative to the elements, uncorrected	-0.201	eV/atom
# Fermi-level density of states	1.660	states/eV per atom
data_Ta2GaO
_cell_length_a 4.979
_cell_length_b 4.979
_cell_length_c 11.801
_cell_angle_alpha 90.00
_cell_angle_beta 90.00
_cell_angle_gamma 90.00
_symmetry_space_group_name_H-M 'I -4 2 d'
_symmetry_Int_Tables_number 122
_symmetry_space_group_name_Hall 'I -4 2bw'
loop_
_atom_site_label
_atom_site_type_symbol
_atom_site_fract_x
_atom_site_fract_y
_atom_site_fract_z
Ta1 Ta 0.139 0.250 0.125
Ga1 Ga 0.000 0.000 0.500
O1 O 0.000 0.000 0.000

***

Entry 2:
# Cd2SiBiAs PBE optimized geometry
# V	35.2	A^3/atom
# density	5.06	g/cm³
# energy relative to the elements, uncorrected	1.094	eV/atom
# Fermi-level density of states	0.755	states/eV per atom
data_Cd2SiBiAs
_cell_length_a 5.635
_cell_length_b 5.635
_cell_length_c 5.548
_cell_angle_alpha 90.00
_cell_angle_beta 90.00
_cell_angle_gamma 90.00
_symmetry_space_group_name_H-M 'P 4/m m m'
_symmetry_Int_Tables_number 123
_symmetry_space_group_name_Hall '-P 4 2'
loop_
_atom_site_label
_atom_site_type_symbol
_atom_site_fract_x
_atom_site_fract_y
_atom_site_fract_z
Cd1 Cd 0.000 0.500 0.000
Si1 Si 0.000 0.000 0.500
Bi1 Bi 0.500 0.500 0.000
As1 As 0.500 0.500 0.500

***

Entry 3:
# Sm7RhBr12 PBE optimized geometry
# V	35.4	A^3/atom
# density	4.96	g/cm³
# energy relative to the elements, uncorrected	-1.615	eV/atom
# Fermi-level density of states	0.375	states/eV per atom
data_Sm7RhBr12
_cell_length_a 15.1619
_cell_length_b 15.1619
_cell_length_c 10.6575
_cell_angle_alpha 90.00
_cell_angle_beta 90.00
_cell_angle_gamma 120.00
_symmetry_space_group_name_H-M 'R -3'
_symmetry_Int_Tables_number 148
_symmetry_space_group_name_Hall '-R 3'
loop_
_atom_site_label
_atom_site_type_symbol
_atom_site_fract_x
_atom_site_fract_y
_atom_site_fract_z
Sm1 Sm 0.0000 0.0000 0.0000
Sm2 Sm 0.0416 0.1658 0.3557
Rh1 Rh 0.0000 0.0000 0.5000
Br1 Br 0.0214 0.5843 0.1568
Br2 Br 0.0443 0.1693 0.8372